VASP calculation (PBE) on a geometry-optimized Ac4SiSnSe2 structure.

Results
* space group: P2/m (10)
* formation energy from raw total energies: -1.2525 eV/atom
* E_tot: -5.356 eV/atom

a b c (Å): 7.951 4.620 8.063
angles (deg): 90.00 109.59 90.00
Positions (direct):
Ac 0.241 0.000 0.239
Ac 0.248 0.500 0.759
Ac 0.752 0.500 0.241
Ac 0.759 0.000 0.761
Si 0.000 0.500 0.000
Sn 0.000 0.000 0.500
Se 0.500 0.000 0.000
Se 0.500 0.500 0.500



VASP calculation (PBE) on a geometry-optimized Na2TlCdH structure.

Results
* space group: P4/mmm (123)
* E_tot: -1.858 eV/atom
* polymorph energy (0 for the lowest one): 5 meV/atom

a b c (Å): 4.797 4.797 4.581
angles (deg): 90.00 90.00 90.00
Positions (direct):
Na 0.000 0.500 0.000
Na 0.500 0.000 0.000
Tl 0.000 0.000 0.500
Cd 0.500 0.500 0.500
H 0.500 0.500 0.000



VASP calculation (PBE) on a geometry-optimized Dy4CdRu structure.

Results
* space group: P2_1/c (14)
* E_tot: -4.914 eV/atom
* polymorph energy (0 for the lowest one): 191 meV/atom
* energy of formation from the pure elements: -0.88 eV per formula unit

a b c (Å): 8.216 7.193 5.918
angles (deg): 90.00 101.94 90.00
Positions (direct):
Dy 0.134 0.141 0.416
Dy 0.134 0.359 0.916
Dy 0.294 0.625 0.449
Dy 0.294 0.875 0.949
Dy 0.706 0.125 0.051
Dy 0.706 0.375 0.551
Dy 0.866 0.641 0.084
Dy 0.866 0.859 0.584
Cd 0.500 0.000 0.500
Cd 0.500 0.500 0.000
Ru 0.000 0.000 0.000
Ru 0.000 0.500 0.500



VASP calculation (PBE) on a geometry-optimized Pu2In8Ge structure.

Results
* space group: P4/mmm (123)
* E_tot: -5.113 eV/atom
* energy of formation from the pure elements: -1.05 eV per formula unit

a b c (Å): 4.760 4.760 12.643
angles (deg): 90.00 90.00 90.00
Positions (direct):
Pu 0.000 0.000 0.183
Pu 0.000 0.000 0.817
In 0.000 0.500 0.000
In 0.000 0.500 0.361
In 0.000 0.500 0.639
In 0.500 0.000 0.000
In 0.500 0.000 0.361
In 0.500 0.000 0.639
In 0.500 0.500 0.177
In 0.500 0.500 0.823
Ge 0.000 0.000 0.500



VASP calculation (PBE) on a geometry-optimized NaIn7Pb4 structure.

Results
* space group: P-1 (2)
* E_tot: -2.958 eV/atom
* energy of formation from the pure elements: -0.17 eV per formula unit

a b c (Å): 5.645 7.122 8.896
angles (deg): 77.83 80.86 89.91
Positions (direct):
Na 0.000 0.000 0.000
In 0.000 0.500 0.000
In 0.001 0.175 0.332
In 0.499 0.272 0.996
In 0.499 0.592 0.660
In 0.501 0.408 0.340
In 0.501 0.728 0.004
In 0.999 0.825 0.668
Pb 0.004 0.660 0.330
Pb 0.496 0.069 0.681
Pb 0.504 0.931 0.319
Pb 0.996 0.340 0.670



VASP calculation (PBE) on a geometry-optimized PrEr2Cd5 structure.

Results
* space group: I4/mmm (139)
* E_tot: -2.618 eV/atom
* energy of formation from the pure elements: -2.46 eV per formula unit

a b c (Å): 5.199 5.199 14.951
angles (deg): 90.00 90.00 90.00
Positions (direct):
Pr 0.000 0.000 0.000
Pr 0.500 0.500 0.500
Er 0.000 0.000 0.263
Er 0.000 0.000 0.737
Er 0.500 0.500 0.237
Er 0.500 0.500 0.763
Cd 0.000 0.000 0.500
Cd 0.000 0.500 0.126
Cd 0.000 0.500 0.374
Cd 0.000 0.500 0.626
Cd 0.000 0.500 0.874
Cd 0.500 0.000 0.126
Cd 0.500 0.000 0.374
Cd 0.500 0.000 0.626
Cd 0.500 0.000 0.874
Cd 0.500 0.500 0.000



VASP calculation (PBE) on a geometry-optimized K3Na5Cd2 structure.

Results
* space group: P4/mbm (127)
* E_tot: -1.192 eV/atom
* polymorph energy (0 for the lowest one): 0 meV/atom
* energy of formation from the pure elements: -0.20 eV per formula unit

a b c (Å): 12.729 12.729 5.130
angles (deg): 90.00 90.00 90.00
Positions (direct):
K 0.000 0.000 0.000
K 0.175 0.325 0.000
K 0.325 0.825 0.000
K 0.500 0.500 0.000
K 0.675 0.175 0.000
K 0.825 0.675 0.000
Na 0.000 0.500 0.500
Na 0.073 0.773 0.500
Na 0.227 0.073 0.500
Na 0.273 0.573 0.500
Na 0.427 0.273 0.500
Na 0.500 0.000 0.500
Na 0.573 0.727 0.500
Na 0.727 0.427 0.500
Na 0.773 0.927 0.500
Na 0.927 0.227 0.500
Cd 0.117 0.617 0.000
Cd 0.383 0.117 0.000
Cd 0.617 0.883 0.000
Cd 0.883 0.383 0.000



VASP calculation (PBE) on a geometry-optimized CaCdBi4 structure.

Results
* space group: Fddd (70)
* E_tot: -3.232 eV/atom
* energy of formation from the pure elements: -0.95 eV per formula unit

a b c (Å): 11.074 10.189 6.886
angles (deg): 78.24 64.26 37.50
Positions (direct):
Ca 0.125 0.125 0.125
Ca 0.875 0.875 0.875
Cd 0.375 0.375 0.375
Cd 0.625 0.625 0.625
Bi 0.042 0.438 0.763
Bi 0.237 0.743 0.958
Bi 0.257 0.763 0.438
Bi 0.438 0.042 0.257
Bi 0.562 0.958 0.743
Bi 0.743 0.237 0.562
Bi 0.763 0.257 0.042
Bi 0.958 0.562 0.237



VASP calculation (PBE) on a geometry-optimized SmDy2Sn structure.

Results
* space group: Cmcm (63)
* E_tot: -4.775 eV/atom
* polymorph energy (0 for the lowest one): 132 meV/atom
* energy of formation from the pure elements: -1.17 eV per formula unit

a b c (Å): 5.481 12.807 6.863
angles (deg): 90.00 90.00 90.00
Positions (direct):
Sm 0.000 0.070 0.250
Sm 0.000 0.930 0.750
Sm 0.500 0.430 0.750
Sm 0.500 0.570 0.250
Dy 0.000 0.368 0.019
Dy 0.000 0.368 0.481
Dy 0.000 0.632 0.519
Dy 0.000 0.632 0.981
Dy 0.500 0.132 0.519
Dy 0.500 0.132 0.981
Dy 0.500 0.868 0.019
Dy 0.500 0.868 0.481
Sn 0.000 0.174 0.750
Sn 0.000 0.826 0.250
Sn 0.500 0.326 0.250
Sn 0.500 0.674 0.750



VASP calculation (PBE) on a geometry-optimized Y2TlGa structure.

Results
* space group: P4/mmm (123)
* E_tot: -5.065 eV/atom
* polymorph energy (0 for the lowest one): 0 meV/atom
* energy of formation from the pure elements: -1.94 eV per formula unit

a b c (Å): 3.599 3.599 7.787
angles (deg): 90.00 90.00 90.00
Positions (direct):
Y 0.000 0.000 0.232
Y 0.000 0.000 0.768
Tl 0.500 0.500 0.500
Ga 0.500 0.500 0.000



VASP calculation (PBE) on a geometry-optimized Y3HPb structure.

Results
* space group: P1 (1)
* E_tot: -5.726 eV/atom
* polymorph energy (0 for the lowest one): 25 meV/atom

a b c (Å): 5.386 6.724 6.918
angles (deg): 77.00 89.60 89.64
Positions (direct):
Y 0.000 0.000 0.000
Y 0.000 0.474 0.354
Y 0.490 0.263 0.679
Y 0.494 0.742 0.862
Y 0.495 0.213 0.194
Y 0.988 0.947 0.527
H 0.403 0.043 0.951
H 0.746 0.221 0.442
Pb 0.498 0.725 0.350
Pb 0.996 0.485 0.870



VASP calculation (PBE) on a geometry-optimized AcSmInIr structure.

Results
* space group: F-43m (216)
* E_tot: -5.441 eV/atom
* energy of formation from the pure elements: -1.34 eV per formula unit

a b c (Å): 7.576 7.576 7.576
angles (deg): 90.00 90.00 90.00
Positions (direct):
Ac 0.000 0.000 0.000
Ac 0.000 0.500 0.500
Ac 0.500 0.000 0.500
Ac 0.500 0.500 0.000
Sm 0.000 0.000 0.500
Sm 0.000 0.500 0.000
Sm 0.500 0.000 0.000
Sm 0.500 0.500 0.500
In 0.250 0.250 0.750
In 0.250 0.750 0.250
In 0.750 0.250 0.250
In 0.750 0.750 0.750
Ir 0.250 0.250 0.250
Ir 0.250 0.750 0.750
Ir 0.750 0.250 0.750
Ir 0.750 0.750 0.250



Across the entries above, total moment takes the values 0.000, 0.000, 0.000, 11.558, 0.000, 0.000, 0.000, 0.000, 0.000, 0.000, 0.000, 0.000 μB per cell, respectively.